#i
Below is a relaxed NaSmGe2 crystal, with properties calculated at the GGA-PBE level.

Output
Space group   P4/mmm (123)
N(E_F)   0.292 states/eV/atom

Cell lengths 4.543, 4.543, 4.289 Å; angles 90.00, 90.00, 90.00 degrees
Fractional positions:
Na 0.000 0.000 0.000
Sm 0.500 0.500 0.000
Ge 0.000 0.500 0.500
Ge 0.500 0.000 0.500

=====

#ii
Below is a relaxed NaSmGe2 crystal, with properties calculated at the GGA-PBE level.

Output
Space group   Pnma (62)
N(E_F)   0.238 states/eV/atom

Cell lengths 14.198, 4.314, 12.334 Å; angles 90.00, 90.00, 90.00 degrees
Fractional positions:
Na 0.062 0.250 0.045
Na 0.188 0.750 0.135
Na 0.312 0.250 0.635
Na 0.438 0.750 0.545
Na 0.562 0.250 0.455
Na 0.688 0.750 0.365
Na 0.812 0.250 0.865
Na 0.938 0.750 0.955
Sm 0.066 0.250 0.726
Sm 0.199 0.750 0.421
Sm 0.301 0.250 0.921
Sm 0.434 0.750 0.226
Sm 0.566 0.250 0.774
Sm 0.699 0.750 0.079
Sm 0.801 0.250 0.579
Sm 0.934 0.750 0.274
Ge 0.048 0.250 0.479
Ge 0.089 0.250 0.279
Ge 0.139 0.750 0.911
Ge 0.225 0.750 0.740
Ge 0.275 0.250 0.240
Ge 0.361 0.250 0.411
Ge 0.411 0.750 0.779
Ge 0.452 0.750 0.979
Ge 0.548 0.250 0.021
Ge 0.589 0.250 0.221
Ge 0.639 0.750 0.589
Ge 0.725 0.750 0.760
Ge 0.775 0.250 0.260
Ge 0.861 0.250 0.089
Ge 0.911 0.750 0.721
Ge 0.952 0.750 0.521

=====

Quick one: most stable of them? #ii

=====

#i
Below is a relaxed NaSnGe2 crystal, with properties calculated at the GGA-PBE level.

Output
Space group   P4/mmm (123)
N(E_F)   0.432 states/eV/atom

Cell lengths 4.490, 4.490, 4.388 Å; angles 90.00, 90.00, 90.00 degrees
Fractional positions:
Na 0.000 0.000 0.000
Sn 0.500 0.500 0.000
Ge 0.000 0.500 0.500
Ge 0.500 0.000 0.500

=====

#ii
Below is a relaxed NaSnGe2 crystal, with properties calculated at the GGA-PBE level.

Output
Space group   R-3m (166)
N(E_F)   0.272 states/eV/atom

Cell lengths 9.230, 9.230, 9.230 Å; angles 21.95, 21.95, 21.95 degrees
Fractional positions:
Na 0.000 0.000 0.000
Sn 0.500 0.500 0.500
Ge 0.244 0.244 0.244
Ge 0.756 0.756 0.756

=====

Quick one: most stable of them? #i

=====

#i
Below is a relaxed NaSn2Ge crystal, with properties calculated at the GGA-PBE level.

Output
Space group   I-42d (122)
N(E_F)   0.386 states/eV/atom

Cell lengths 6.690, 6.690, 6.690 Å; angles 101.97, 101.97, 125.81 degrees
Fractional positions:
Na 0.000 0.000 0.000
Na 0.750 0.250 0.500
Sn 0.181 0.125 0.556
Sn 0.375 0.819 0.944
Sn 0.569 0.625 0.444
Sn 0.875 0.431 0.056
Ge 0.250 0.750 0.500
Ge 0.500 0.500 0.000

=====

#ii
Below is a relaxed NaSn2Ge crystal, with properties calculated at the GGA-PBE level.

Output
Space group   R3m (160)
N(E_F)   0.492 states/eV/atom

Cell lengths 9.041, 9.041, 9.041 Å; angles 24.12, 24.12, 24.12 degrees
Fractional positions:
Na 0.000 0.000 0.000
Sn 0.570 0.570 0.570
Sn 0.763 0.763 0.763
Ge 0.166 0.166 0.166

=====

#iii
Below is a relaxed NaSn2Ge crystal, with properties calculated at the GGA-PBE level.

Output
Space group   P4/mmm (123)
N(E_F)   0.409 states/eV/atom

Cell lengths 4.628, 4.628, 4.564 Å; angles 90.00, 90.00, 90.00 degrees
Fractional positions:
Na 0.000 0.000 0.000
Sn 0.000 0.500 0.500
Sn 0.500 0.000 0.500
Ge 0.500 0.500 0.000

=====

#iv
Below is a relaxed NaSn2Ge crystal, with properties calculated at the GGA-PBE level.

Output
Space group   Fm-3m (225)
N(E_F)   0.652 states/eV/atom

Cell lengths 5.197, 5.197, 5.197 Å; angles 60.00, 60.00, 60.00 degrees
Fractional positions:
Na 0.000 0.000 0.000
Sn 0.250 0.250 0.250
Sn 0.750 0.750 0.750
Ge 0.500 0.500 0.500

=====

Quick one: most stable of them? #i